VASP calculation (PBE-GGA) on a geometry-optimized BeZn2Ag2 structure.

a b c (Å): 6.273 6.273 4.045
angles (deg): 90.00 90.00 90.00
Space group P4/mbm (No. 127)
Unique sites:
1 Be 0.000 0.000 0.000 x2
2 Zn 0.151 0.349 0.500 x4
3 Ag 0.161 0.661 0.000 x4

Its calculated volume is 159.2 Å³/cell. The crystal system is tetragonal. Its total energy is -21.6 eV per cell. For the calculated density, the calculation gives 7.4 g cm⁻³. For the energy of formation from the pure elements, the calculation gives 0.235 eV/atom.